1.
POs2Br | SCAN | single point on PBEsol structure

Values from the calculation:
raw formation energy	429	meV per atom
energy relative to the lowest polymorph listed for this composition	0.000	eV/atom
VASP energy	-42.98	eV/atom
crystal system	orthorhombic
space-group type	No. 38

Lattice parameters (Å, degrees): 3.6245 2.8079 14.1670 90.00 90.00 90.00
Last column: nearest neighbours and their distance in Å.
Sites, in units of the cell vectors:
P 0.0000 0.0000 0.0000  5 Os 2.38-2.57
P 0.0000 0.5000 0.5000  5 Os 2.38-2.57
Os 0.0000 0.0000 0.1683  1 P 2.38, 4 Os 2.60, 2 Br 2.61
Os 0.0000 0.5000 0.6683  1 P 2.38, 4 Os 2.60, 2 Br 2.61
Os 0.5000 0.0000 0.5816  4 P 2.57, 6 Os 2.60-2.81
Os 0.5000 0.5000 0.0816  4 P 2.57, 6 Os 2.60-2.81
Br 0.5000 0.0000 0.3008  2 Os 2.61, 2 Br 2.81
Br 0.5000 0.5000 0.8008  2 Os 2.61, 2 Br 2.81

2.
In2FeIr | SCAN | single point on PBEsol structure

Values from the calculation:
VASP energy	-38.85	eV/atom
crystal system	orthorhombic
space-group type	No. 47

Lattice parameters (Å, degrees): 3.0113 3.5125 6.0435 90.00 90.00 90.00
Last column: nearest neighbours and their distance in Å.
Sites, in units of the cell vectors:
In 0.0000 0.0000 0.2453  4 Fe 2.75, 4 Ir 2.78, 3 In 2.97-3.01
In 0.0000 0.0000 0.7547  4 Fe 2.75, 4 Ir 2.78, 3 In 2.97-3.01
Fe 0.5000 0.5000 0.0000  8 In 2.75, 2 Fe 3.01, 2 Ir 3.02
Ir 0.5000 0.5000 0.5000  8 In 2.78, 2 Ir 3.01, 2 Fe 3.02

3.
Al2TcCl | SCAN | single point on PBEsol structure

Values from the calculation:
raw formation energy	-523	meV per atom
energy relative to the lowest polymorph listed for this composition	0.000	eV/atom
VASP energy	-15.16	eV/atom
crystal system	orthorhombic
space-group type	No. 47

Lattice parameters (Å, degrees): 2.9654 3.1582 7.1517 90.00 90.00 90.00
Last column: nearest neighbours and their distance in Å.
Sites, in units of the cell vectors:
Al 0.0000 0.0000 0.1960  4 Tc 2.58, 2 Cl 2.63, 1 Al 2.80
Al 0.0000 0.0000 0.8040  4 Tc 2.58, 2 Cl 2.63, 1 Al 2.80
Tc 0.5000 0.5000 0.0000  8 Al 2.58
Cl 0.5000 0.0000 0.5000  4 Al 2.63

4.
Er2ZnAu | SCAN | single point on PBEsol structure

Values from the calculation:
VASP energy	-46.63	eV/atom
crystal system	cubic
space-group type	No. 225

Lattice parameters (Å, degrees): 6.9836 6.9836 6.9836 90.00 90.00 90.00
Last column: nearest neighbours and their distance in Å.
Sites, in units of the cell vectors:
Er 0.2500 0.2500 0.2500  4 Zn 3.02, 4 Au 3.02
Er 0.2500 0.2500 0.7500  4 Zn 3.02, 4 Au 3.02
Er 0.2500 0.7500 0.2500  4 Zn 3.02, 4 Au 3.02
Er 0.2500 0.7500 0.7500  4 Zn 3.02, 4 Au 3.02
Er 0.7500 0.2500 0.2500  4 Zn 3.02, 4 Au 3.02
Er 0.7500 0.2500 0.7500  4 Zn 3.02, 4 Au 3.02
Er 0.7500 0.7500 0.2500  4 Zn 3.02, 4 Au 3.02
Er 0.7500 0.7500 0.7500  4 Zn 3.02, 4 Au 3.02
Zn 0.0000 0.0000 0.0000  8 Er 3.02
Zn 0.0000 0.5000 0.5000  8 Er 3.02
Zn 0.5000 0.0000 0.5000  8 Er 3.02
Zn 0.5000 0.5000 0.0000  8 Er 3.02
Au 0.0000 0.0000 0.5000  8 Er 3.02
Au 0.0000 0.5000 0.0000  8 Er 3.02
Au 0.5000 0.0000 0.0000  8 Er 3.02
Au 0.5000 0.5000 0.5000  8 Er 3.02

5.
Tb2Co3Ge5 | SCAN | single point on PBEsol structure

Values from the calculation:
VASP energy	-24.70	eV/atom
crystal system	monoclinic
space-group type	No. 15

Lattice parameters (Å, degrees): 7.9818 7.9818 5.6474 109.46 109.46 93.94
Last column: nearest neighbours and their distance in Å.
Sites, in units of the cell vectors:
Tb 0.0934 0.3722 0.2334  10 Ge 2.86-3.19, 4 Co 3.02-3.19
Tb 0.3722 0.0934 0.7334  10 Ge 2.86-3.19, 4 Co 3.02-3.19
Tb 0.6278 0.9066 0.2666  10 Ge 2.86-3.19, 4 Co 3.02-3.19
Tb 0.9066 0.6278 0.7666  10 Ge 2.86-3.19, 4 Co 3.02-3.19
Co 0.0431 0.7636 0.3780  5 Ge 2.29-2.39
Co 0.2364 0.9569 0.1220  5 Ge 2.29-2.39
Co 0.4960 0.5040 0.2500  5 Ge 2.37-2.45
Co 0.5040 0.4960 0.7500  5 Ge 2.37-2.45
Co 0.7636 0.0431 0.8780  5 Ge 2.29-2.39
Co 0.9569 0.2364 0.6220  5 Ge 2.29-2.39
Ge 0.0104 0.9896 0.7500  4 Co 2.33-2.37
Ge 0.2382 0.4225 0.8263  3 Co 2.29-2.42
Ge 0.2716 0.7284 0.7500  2 Co 2.39, 2 Ge 2.63
Ge 0.2864 0.7136 0.2500  3 Co 2.30-2.45
Ge 0.4225 0.2382 0.3263  3 Co 2.29-2.42
Ge 0.5775 0.7618 0.6737  3 Co 2.29-2.42
Ge 0.7136 0.2864 0.7500  3 Co 2.30-2.45
Ge 0.7284 0.2716 0.2500  2 Co 2.39, 2 Ge 2.63
Ge 0.7618 0.5775 0.1737  3 Co 2.29-2.42
Ge 0.9896 0.0104 0.2500  4 Co 2.33-2.37

6.
ZnHg2H | SCAN | single point on PBEsol structure

Values from the calculation:
VASP energy	-37.79	eV/atom
crystal system	cubic
space-group type	No. 225

Lattice parameters (Å, degrees): 6.4179 6.4179 6.4179 90.00 90.00 90.00
Last column: nearest neighbours and their distance in Å.
Sites, in units of the cell vectors:
Zn 0.0000 0.0000 0.0000  8 Hg 2.78
Zn 0.0000 0.5000 0.5000  8 Hg 2.78
Zn 0.5000 0.0000 0.5000  8 Hg 2.78
Zn 0.5000 0.5000 0.0000  8 Hg 2.78
Hg 0.2500 0.2500 0.2500  4 H 2.78, 4 Zn 2.78
Hg 0.2500 0.2500 0.7500  4 H 2.78, 4 Zn 2.78
Hg 0.2500 0.7500 0.2500  4 H 2.78, 4 Zn 2.78
Hg 0.2500 0.7500 0.7500  4 H 2.78, 4 Zn 2.78
Hg 0.7500 0.2500 0.2500  4 H 2.78, 4 Zn 2.78
Hg 0.7500 0.2500 0.7500  4 H 2.78, 4 Zn 2.78
Hg 0.7500 0.7500 0.2500  4 H 2.78, 4 Zn 2.78
Hg 0.7500 0.7500 0.7500  4 H 2.78, 4 Zn 2.78
H 0.0000 0.0000 0.5000  8 Hg 2.78
H 0.0000 0.5000 0.0000  8 Hg 2.78
H 0.5000 0.0000 0.0000  8 Hg 2.78
H 0.5000 0.5000 0.5000  8 Hg 2.78